1.
DFT (PBE) results for crystalline TiTl2Te3 at its relaxed geometry.

Geometry as POSCAR:
```
TiTl2Te3
1.0
3.776 -6.463 0.000
3.776 6.463 0.000
-2.426 0.000 7.867
Ti Tl Te
2 4 6
direct
0.172 0.828 0.000
0.828 0.172 0.000
0.000 0.000 0.500
0.355 0.645 0.500
0.500 0.500 0.000
0.645 0.355 0.500
0.047 0.429 0.790
0.181 0.181 0.187
0.429 0.047 0.790
0.571 0.953 0.210
0.819 0.819 0.813
0.953 0.571 0.210
```

Space-group type: C2/m, No. 12
M_tot, μB/cell: 0.166

2.
DFT (PBE) results for crystalline TiTl2Te3 at its relaxed geometry.

Geometry as POSCAR:
```
TiTl2Te3
1.0
6.663 -4.353 0.000
6.663 4.353 0.000
-1.048 0.000 7.407
Ti Tl Te
2 4 6
direct
0.081 0.919 0.750
0.919 0.081 0.250
0.176 0.505 0.347
0.495 0.824 0.153
0.505 0.176 0.847
0.824 0.495 0.653
0.095 0.186 0.003
0.186 0.095 0.503
0.378 0.622 0.750
0.622 0.378 0.250
0.814 0.905 0.497
0.905 0.814 0.997
```

Space-group type: C2/c, No. 15
M_tot, μB/cell: 0.000

Unit: kJ/mol of atoms. Relative energies: 1 0.0; 2 2.0.